# PBE with a Hubbard U Cs2Rb4ZnCoO5, relaxed
# DFT total energy = -50.87 eV/f.u.
data_Cs2Rb4ZnCoO5
_chemical_formula_sum 'Cs4 Rb8 Zn2 Co2 O10'
_cell_length_a 7.209
_cell_length_b 12.068
_cell_length_c 7.049
_cell_angle_alpha 90.00
_cell_angle_beta 95.30
_cell_angle_gamma 90.00
_space_group_name_H-M_alt 'C 1 m 1'
_space_group_IT_number 8
_space_group_name_Hall 'C -2y'
loop_
_atom_site_label
_atom_site_type_symbol
_atom_site_fract_x
_atom_site_fract_y
_atom_site_fract_z
_atom_site_occupancy
Cs1 Cs 0.000 0.244 0.000 1
Rb1 Rb 0.000 0.212 0.505 1
Rb2 Rb 0.138 0.500 0.350 1
Rb3 Rb 0.350 0.000 0.696 1
Zn1 Zn 0.318 0.500 0.807 1
Co1 Co 0.210 0.000 0.195 1
O1 O 0.064 0.000 0.945 1
O2 O 0.201 0.366 0.715 1
O3 O 0.289 0.133 0.293 1